## one
Here is a geometry-optimized Cr2HgCl structure from Alexandria via LeMat-Bulk. Energies are from PBE-GGA.

Results
SG: P2/m (10)

a b c (Å): 3.2431 3.6154 7.1333
angles (deg): 90.16 90.00 90.00
Each line ends with the local moment (μB).
Element x y z (fractional)
Hg1 0.5000 0.2500 0.2500  0.01
Cr1 0.0000 0.7513 0.4687  3.81
Cr2 0.0000 0.7487 0.0313  3.81
Cl1 0.5000 0.7500 0.7500  0.00


## two
Here is a geometry-optimized Cr2HgCl structure from Alexandria via LeMat-Bulk. Energies are from PBE-GGA.

Results
SG: F-43m (216)

a b c (Å): 4.9405 4.9405 4.9405
angles (deg): 60.00 60.00 60.00
Each line ends with the local moment (μB).
Element x y z (fractional)
Cl1 0.5000 0.5000 0.5000  0.02
Cr1 0.7500 0.7500 0.7500  4.00
Cr2 0.0000 0.0000 0.0000  3.97
Hg1 0.2500 0.2500 0.2500  -0.02


## three
Here is a geometry-optimized Cr2HgCl structure from Alexandria via LeMat-Bulk. Energies are from PBE-GGA.

Results
SG: I4/mmm (139)

a b c (Å): 5.0606 5.0606 5.0606
angles (deg): 126.95 126.95 78.33
Each line ends with the local moment (μB).
Element x y z (fractional)
Cl1 0.7500 0.2500 0.5000  0.05
Hg1 0.2500 0.7500 0.5000  0.03
Cr1 0.0000 0.0000 0.0000  3.96
Cr2 0.5000 0.5000 0.0000  3.96


## four
Here is a geometry-optimized Cr2HgCl structure from Alexandria via LeMat-Bulk. Energies are from PBE-GGA.

Results
SG: Cmmm (65)

a b c (Å): 3.2846 3.2846 8.3383
angles (deg): 90.00 90.00 116.20
Each line ends with the local moment (μB).
Element x y z (fractional)
Cr1 0.0000 0.0000 0.5135  3.92
Cr2 0.0000 0.0000 0.9865  3.92
Hg1 0.5000 0.5000 0.2500  0.01
Cl1 0.5000 0.5000 0.7500  0.03


Which structure is the most stable? The one labeled one.


## one
Here is a geometry-optimized CrHgCl3 structure from Alexandria via LeMat-Bulk. Energies are from PBE-GGA.

Results
SG: Pm-3m (221)

a b c (Å): 4.8756 4.8756 4.8756
angles (deg): 90.00 90.00 90.00
Each line ends with the local moment (μB).
Element x y z (fractional)
Cl1 0.5000 0.0000 0.0000  -0.05
Cl2 0.0000 0.0000 0.5000  -0.06
Cl3 0.0000 0.5000 0.0000  -0.08
Cr1 0.0000 0.0000 0.0000  3.32
Hg1 0.5000 0.5000 0.5000  -0.24


## two
Here is a geometry-optimized CrHgCl3 structure from Alexandria via LeMat-Bulk. Energies are from PBE-GGA.

Results
SG: R-3 (148)

a b c (Å): 6.0462 6.0462 10.3213
angles (deg): 72.97 72.97 60.00
Each line ends with the local moment (μB).
Element x y z (fractional)
Cr1 0.8333 0.8333 0.5001  2.89
Cr2 0.1667 0.1667 0.5000  2.89
Cl1 0.4539 0.8129 0.6380  -0.03
Cl2 0.5461 0.1871 0.3620  -0.03
Cl3 0.1871 0.9048 0.3620  -0.03
Cl4 0.8129 0.0952 0.6380  -0.03
Cl5 0.0952 0.4539 0.6380  -0.03
Cl6 0.9048 0.5461 0.3620  -0.03
Hg1 0.6646 0.6646 0.0063  -0.01
Hg2 0.3354 0.3354 0.9938  -0.01


Which structure is the most stable? The one labeled two.